# 1
## Sb4SeN2 (PBE)

Data for an optimized crystal structure of Sb4SeN2.

Output
- crystal system = tetragonal
- VASP energy (eV/atom) = -4.207

Unit cell a=7.8918 b=7.8918 c=7.8918 alpha=142.09 beta=142.09 gamma=54.69
Fractional positions:
Sb  0.0000  0.5000  0.5000
Sb  0.2332  0.2332  0.0000
Sb  0.5000  0.0000  0.5000
Sb  0.7668  0.7668  0.0000
Se  0.5000  0.5000  0.0000
N  0.0884  0.0884  0.0000
N  0.9116  0.9116  0.0000

---

# 2
## TlPd8Pt2 (PBE)

Data for an optimized crystal structure of TlPd8Pt2.

Output
- offset from the most stable computed form (eV/atom) = 0.418
- crystal system = monoclinic
- formation energy from the elements (eV per atom) = 0.336

Unit cell a=6.7552 b=6.7552 c=4.7365 alpha=101.39 beta=101.39 gamma=85.09
Fractional positions:
Tl  0.0000  0.0000  0.0000
Pd  0.1621  0.6624  0.2180
Pd  0.2820  0.2820  0.1328
Pd  0.3376  0.8379  0.7820
Pd  0.4264  0.4264  0.7113
Pd  0.5736  0.5736  0.2887
Pd  0.6624  0.1621  0.2180
Pd  0.7180  0.7180  0.8672
Pd  0.8379  0.3376  0.7820
Pt  0.1508  0.1508  0.5614
Pt  0.8492  0.8492  0.4386

---

# 3
## Mg7Pb5 (PBE)

Data for an optimized crystal structure of Mg7Pb5.

Output
- offset from the most stable computed form (eV/atom) = 0.000
- crystal system = monoclinic
- formation energy from the elements (eV per atom) = -0.006

Unit cell a=5.1421 b=5.1421 c=14.5068 alpha=102.89 beta=102.89 gamma=58.60
Fractional positions:
Mg  0.0000  0.0000  0.0000
Mg  0.1991  0.1991  0.5799
Mg  0.2724  0.2724  0.8264
Mg  0.4374  0.4374  0.2941
Mg  0.5626  0.5626  0.7059
Mg  0.7276  0.7276  0.1736
Mg  0.8009  0.8009  0.4201
Pb  0.0919  0.0919  0.2515
Pb  0.3605  0.3605  0.0703
Pb  0.5000  0.5000  0.5000
Pb  0.6395  0.6395  0.9297
Pb  0.9081  0.9081  0.7485